No. 1
! TbNd2ScSb4 PBE relaxed; values from VASP
&SYSTEM
  ibrav = 0, nat = 8, ntyp = 4
/
ATOMIC_SPECIES
Tb 158.93 Tb.upf
Nd 144.24 Nd.upf
Sc 44.96 Sc.upf
Sb 121.76 Sb.upf
ATOMIC_POSITIONS angstrom
Tb 0.000 0.000 0.000
Nd 2.534 0.000 3.601
Nd 3.812 2.208 0.000
Sc -1.278 2.208 3.601
Sb -0.117 0.000 5.308
Sb 1.160 2.208 1.819
Sb 3.908 2.208 5.383
Sb 5.185 0.000 1.894
CELL_PARAMETERS angstrom
7.624 0.000 0.000
0.000 4.416 0.000
-2.556 0.000 7.202
! Formation energy from raw total energies ... -1.10 eV/atom
! D(E_F) ... 1.2 states/eV/f.u.
! Final energy ... -5.72 eV per atom

***

No. 2
! NdScSbTe PBE relaxed; values from VASP
&SYSTEM
  ibrav = 0, nat = 12, ntyp = 4
/
ATOMIC_SPECIES
Nd 144.24 Nd.upf
Sc 44.96 Sc.upf
Sb 121.76 Sb.upf
Te 127.60 Te.upf
ATOMIC_POSITIONS angstrom
Nd 0.000 0.000 0.000
Nd 0.000 2.503 14.258
Nd 2.168 1.252 7.129
Sc 0.000 0.000 10.533
Sc 0.000 2.503 3.404
Sc 2.168 1.252 17.662
Sb 0.000 0.000 16.141
Sb 0.000 2.503 9.012
Sb 2.168 1.252 1.883
Te 0.000 0.000 5.099
Te 0.000 2.503 19.357
Te 2.168 1.252 12.228
CELL_PARAMETERS angstrom
4.336 0.000 0.000
-2.168 3.755 0.000
0.000 0.000 21.387
! Formation energy from raw total energies ... -1.19 eV/atom
! D(E_F) ... 2.0 states/eV/f.u.
! Final energy ... -5.78 eV per atom